# Cs2Sr2Tl | Alexandria | PBE-GGA | relaxed
# * total magnetic moment: 0.002 μB/f.u.
# * VASP energy: -14.34 eV for the cell shown
# * DFT formation energy: 54 meV per atom
# * density of states at the Fermi level: 2.0520 states/eV per atom
data_Cs2Sr2Tl
_chemical_formula_sum 'Cs4 Sr4 Tl2'
_cell_length_a 9.0333
_cell_length_b 9.0333
_cell_length_c 7.8568
_cell_angle_alpha 90.00
_cell_angle_beta 90.00
_cell_angle_gamma 90.00
_symmetry_space_group_name_H-M 'P 4/m b m'
_symmetry_Int_Tables_number 127
_symmetry_space_group_name_Hall '-P 4 2ab'
loop_
_atom_site_label
_atom_site_type_symbol
_atom_site_fract_x
_atom_site_fract_y
_atom_site_fract_z
Cs1 Cs 0.1821 0.3179 0.0000
Sr1 Sr 0.1684 0.6684 0.5000
Tl1 Tl 0.0000 0.0000 0.5000